(1)
SiRhS2 | PBE | optimized geometry

The calculated density is 4.92 g/cm³. For the total energy, the calculation gives -5.42 eV per atom. As for the space group: R-3m, No. 166. For the uncorrected formation energy, the calculation gives -0.16 eV/atom.

Lattice parameters (Å, degrees): 7.376 7.376 7.376 25.56 25.56 25.56
Atoms (fractional coordinates):
Si 0.000 0.000 0.000
Rh 0.500 0.500 0.500
S 0.395 0.395 0.395
S 0.605 0.605 0.605

***

(2)
SrAcPmSm | PBE | optimized geometry

The calculated density is 6.24 g/cm³. For the total energy, the calculation gives -3.62 eV per atom. As for the space group: F-43m, No. 216.

Lattice parameters (Å, degrees): 6.122 6.122 6.122 60.00 60.00 60.00
Atoms (fractional coordinates):
Sr 0.000 0.000 0.000
Ac 0.750 0.750 0.750
Pm 0.250 0.250 0.250
Sm 0.500 0.500 0.500

***

(3)
Li3PmPt | PBE | optimized geometry

The calculated density is 5.85 g/cm³. For the total energy, the calculation gives -3.68 eV per atom. As for the space group: C2/c, No. 15.

Lattice parameters (Å, degrees): 8.796 8.796 7.365 105.63 105.63 120.90
Atoms (fractional coordinates):
Li 0.007 0.184 0.496
Li 0.180 0.273 0.915
Li 0.184 0.007 0.996
Li 0.273 0.180 0.415
Li 0.315 0.467 0.344
Li 0.467 0.315 0.844
Li 0.533 0.685 0.156
Li 0.685 0.533 0.656
Li 0.727 0.820 0.585
Li 0.816 0.993 0.004
Li 0.820 0.727 0.085
Li 0.993 0.816 0.504
Pm 0.109 0.577 0.829
Pm 0.423 0.891 0.671
Pm 0.577 0.109 0.329
Pm 0.891 0.423 0.171
Pt 0.181 0.819 0.250
Pt 0.422 0.578 0.750
Pt 0.578 0.422 0.250
Pt 0.819 0.181 0.750

***

(4)
Hf3MgTa | PBE | optimized geometry

The calculated density is 9.12 g/cm³. For the total energy, the calculation gives -7.66 eV per atom. The energy above the most stable polymorph in this dataset comes out at 0 kJ/mol of formula units. As for the space group: Pm-3m, No. 221.

Lattice parameters (Å, degrees): 5.129 5.129 5.129 90.00 90.00 90.00
Atoms (fractional coordinates):
Hf 0.000 0.000 0.500
Hf 0.000 0.500 0.000
Hf 0.500 0.000 0.000
Mg 0.500 0.500 0.500
Ta 0.000 0.000 0.000

***

(5)
SrTa2Cd | PBE | optimized geometry

The calculated density is 9.01 g/cm³. For the total energy, the calculation gives -5.66 eV per atom. As for the space group: P4/mmm, No. 123.

Lattice parameters (Å, degrees): 3.789 3.789 7.214 90.00 90.00 90.00
Atoms (fractional coordinates):
Sr 0.000 0.000 0.000
Ta 0.500 0.500 0.335
Ta 0.500 0.500 0.665
Cd 0.000 0.000 0.500

***

(6)
TmTaCuOs | PBE | optimized geometry

The calculated density is 14.41 g/cm³. For the total energy, the calculation gives -8.03 eV per atom. As for the space group: F-43m, No. 216.

Lattice parameters (Å, degrees): 4.617 4.617 4.617 60.00 60.00 60.00
Atoms (fractional coordinates):
Tm 0.000 0.000 0.000
Ta 0.500 0.500 0.500
Cu 0.250 0.250 0.250
Os 0.750 0.750 0.750

***

(7)
TlRuN2 | PBE | optimized geometry

The calculated density is 9.66 g/cm³. For the total energy, the calculation gives -6.36 eV per atom. The energy above the most stable polymorph in this dataset comes out at 85 kJ/mol of formula units. As for the space group: R-3m, No. 166. For the uncorrected formation energy, the calculation gives 0.72 eV/atom.

Lattice parameters (Å, degrees): 7.092 7.092 7.092 25.29 25.29 25.29
Atoms (fractional coordinates):
Tl 0.000 0.000 0.000
Ru 0.500 0.500 0.500
N 0.118 0.118 0.118
N 0.882 0.882 0.882

***

(8)
Rb2ZnSb2 | PBE | optimized geometry

The calculated density is 3.77 g/cm³. For the total energy, the calculation gives -2.29 eV per atom. The energy above the most stable polymorph in this dataset comes out at 108 kJ/mol of formula units. As for the space group: I4/mmm, No. 139. For the uncorrected formation energy, the calculation gives 0.00 eV/atom.

Lattice parameters (Å, degrees): 11.580 11.580 11.580 158.35 158.35 30.80
Atoms (fractional coordinates):
Rb 0.110 0.110 0.000
Rb 0.890 0.890 0.000
Zn 0.500 0.500 0.000
Sb 0.250 0.750 0.500
Sb 0.750 0.250 0.500